DFT (GGA-PBE) results for NaZr after structural relaxation.

Structure (POSCAR):
```
NaZr
1.0
3.0706 0.0000 0.0000
0.0000 5.1743 0.0000
0.0000 0.0000 6.4379
Na Zr
2 2
Cartesian
0.7676 1.2936 0.3295
2.3030 3.8808 6.1084
0.7676 3.8808 3.0688
2.3030 1.2936 3.3691
```

## Properties
energy of formation from the pure elements: 430 meV/atom
energy relative to the lowest polymorph listed for this composition: 0.247 eV/atom

---

DFT (GGA-PBE) results for LiGdGaPb after structural relaxation.

Structure (POSCAR):
```
LiGdGaPb
1.0
7.2405 0.0000 0.0000
0.0000 7.2405 0.0000
0.0000 0.0000 7.2405
Li Gd Ga Pb
4 4 4 4
Cartesian
0.0000 0.0000 0.0000
0.0000 3.6202 3.6202
3.6202 0.0000 3.6202
3.6202 3.6202 0.0000
0.0000 0.0000 3.6202
0.0000 3.6202 0.0000
3.6202 0.0000 0.0000
3.6202 3.6202 3.6202
1.8101 1.8101 5.4303
1.8101 5.4303 1.8101
5.4303 1.8101 1.8101
5.4303 5.4303 5.4303
1.8101 1.8101 1.8101
1.8101 5.4303 5.4303
5.4303 1.8101 5.4303
5.4303 5.4303 1.8101
```

## Properties
energy of formation from the pure elements: -360 meV/atom

---

DFT (GGA-PBE) results for V2SiIr2 after structural relaxation.

Structure (POSCAR):
```
V2SiIr2
1.0
7.2957 0.0000 0.0000
0.0000 7.2957 0.0000
0.0000 0.0000 2.7762
V Si Ir
4 2 4
Cartesian
1.1761 2.4717 0.0000
2.4717 6.1195 0.0000
4.8240 1.1761 0.0000
6.1195 4.8240 0.0000
0.0000 0.0000 1.3881
3.6478 3.6478 1.3881
0.9778 4.6256 1.3881
2.6701 0.9778 1.3881
4.6256 6.3179 1.3881
6.3179 2.6701 1.3881
```

## Properties
E_tot: -8.54 eV per atom

---

Number 3 is which compound? V2SiIr2

---

Please write out number 2 again, unchanged.
DFT (GGA-PBE) results for LiGdGaPb after structural relaxation.

Structure (POSCAR):
```
LiGdGaPb
1.0
7.2405 0.0000 0.0000
0.0000 7.2405 0.0000
0.0000 0.0000 7.2405
Li Gd Ga Pb
4 4 4 4
Cartesian
0.0000 0.0000 0.0000
0.0000 3.6202 3.6202
3.6202 0.0000 3.6202
3.6202 3.6202 0.0000
0.0000 0.0000 3.6202
0.0000 3.6202 0.0000
3.6202 0.0000 0.0000
3.6202 3.6202 3.6202
1.8101 1.8101 5.4303
1.8101 5.4303 1.8101
5.4303 1.8101 1.8101
5.4303 5.4303 5.4303
1.8101 1.8101 1.8101
1.8101 5.4303 5.4303
5.4303 1.8101 5.4303
5.4303 5.4303 1.8101
```

## Properties
energy of formation from the pure elements: -360 meV/atom